A plane-wave DFT calculation with meta-GGA SCAN was carried out for GeSbAu2 at its PBEsol-relaxed geometry.

```
4
Lattice="0.000 3.400 3.400 3.400 0.000 3.400 3.400 3.400 0.000" Properties=species:S:1:pos:R:3 pbc="T T T"
Ge 0.000 0.000 0.000
Sb 3.400 3.400 3.400
Au 1.700 1.700 1.700
Au 5.101 5.101 5.101
```

Results
Electronic total energy   -193.9 eV/f.u.
Raw formation energy   0.18 eV/atom